{
  "formula": "Sc3PtCl",
  "functional": "SCAN",
  "state": "single point on PBEsol structure",
  "m_tot_mub_per_fu": 0.00,
  "total_energy_ev_per_fu": -124.23,
  "volume_a3_per_cell": 97,
  "e_form_raw_ev_per_atom": -0.669,
  "lattice_angstrom": [[-1.463, 3.815, 2.100], [-2.828, -2.517, 2.602], [3.311, -0.464, 3.150]],
  "species": ["Sc", "Sc", "Sc", "Cl", "Pt"],
  "fractional_positions": [[0.000, 0.500, 0.000], [0.000, 0.000, 0.500], [0.500, 0.000, 0.000], [0.000, 0.000, 0.000], [0.500, 0.500, 0.500]]
}

---

{
  "formula": "ScPtCl2",
  "functional": "SCAN",
  "state": "single point on PBEsol structure",
  "m_tot_mub_per_fu": 0.00,
  "total_energy_ev_per_fu": -104.68,
  "volume_a3_per_cell": 76,
  "e_form_raw_ev_per_atom": -1.074,
  "lattice_angstrom": [[3.135, 0.067, 0.000], [-0.066, 3.135, 0.000], [0.000, 0.000, 7.773]],
  "species": ["Sc", "Cl", "Cl", "Pt"],
  "fractional_positions": [[0.500, 0.500, 0.266], [0.500, 0.500, 0.695], [0.000, 0.000, 0.063], [0.000, 0.000, 0.476]]
}

---

{
  "formula": "PtSeCl2",
  "functional": "SCAN",
  "state": "single point on PBEsol structure",
  "m_tot_mub_per_fu": 0.00,
  "total_energy_ev_per_fu": -107.93,
  "volume_a3_per_cell": 84,
  "e_form_raw_ev_per_atom": -0.425,
  "lattice_angstrom": [[3.600, 0.000, 0.000], [1.800, 3.118, 0.000], [1.800, 1.039, 7.446]],
  "species": ["Pt", "Cl", "Cl", "Se"],
  "fractional_positions": [[0.507, 0.507, 0.479], [0.982, 0.982, 0.055], [0.777, 0.777, 0.669], [0.234, 0.234, 0.297]]
}

---

{
  "formula": "PtSeCl2",
  "functional": "SCAN",
  "state": "single point on PBEsol structure",
  "m_tot_mub_per_fu": 0.01,
  "total_energy_ev_per_fu": -102.29,
  "volume_a3_per_cell": 70,
  "e_form_raw_ev_per_atom": 0.983,
  "lattice_angstrom": [[-1.652, -2.440, -0.322], [2.672, -2.254, 3.370], [-3.019, 1.588, 3.456]],
  "species": ["Cl", "Cl", "Se", "Pt"],
  "fractional_positions": [[0.000, 0.000, 0.500], [0.000, 0.500, 0.000], [0.500, 0.000, 0.000], [0.500, 0.500, 0.500]]
}

---

{
  "formula": "PtSeCl2",
  "functional": "SCAN",
  "state": "single point on PBEsol structure",
  "m_tot_mub_per_fu": 0.00,
  "total_energy_ev_per_fu": -107.82,
  "volume_a3_per_cell": 119,
  "e_form_raw_ev_per_atom": -0.397,
  "lattice_angstrom": [[-3.197, 1.050, 0.912], [1.042, -0.858, 4.640], [3.441, 6.502, -2.087]],
  "species": ["Pt", "Se", "Cl", "Cl"],
  "fractional_positions": [[0.461, 0.461, 0.922], [0.072, 0.572, 0.145], [0.848, 0.348, 0.696], [0.119, 0.119, 0.237]]
}

---

{
  "formula": "PtSeCl2",
  "functional": "SCAN",
  "state": "single point on PBEsol structure",
  "m_tot_mub_per_fu": 0.00,
  "total_energy_ev_per_fu": -108.02,
  "volume_a3_per_cell": 88,
  "e_form_raw_ev_per_atom": -0.448,
  "lattice_angstrom": [[-1.909, 1.282, -2.696], [2.741, -2.413, -0.760], [-5.836, -4.756, 1.870]],
  "species": ["Pt", "Cl", "Cl", "Se"],
  "fractional_positions": [[0.487, 0.974, 0.524], [0.012, 0.024, 0.943], [0.824, 0.649, 0.329], [0.177, 0.354, 0.704]]
}

---

{
  "formula": "SnPt2SeCl",
  "functional": "SCAN",
  "state": "single point on PBEsol structure",
  "m_tot_mub_per_fu": 0.00,
  "total_energy_ev_per_fu": -200.05,
  "volume_a3_per_cell": 107,
  "e_form_raw_ev_per_atom": 0.862,
  "lattice_angstrom": [[-2.105, 2.289, -3.219], [0.026, -3.639, -2.605], [-4.696, -1.479, 2.019]],
  "species": ["Pt", "Pt", "Cl", "Sn", "Se"],
  "fractional_positions": [[0.500, 0.000, 0.000], [0.000, 0.500, 0.000], [0.000, 0.000, 0.000], [0.500, 0.500, 0.500], [0.000, 0.000, 0.500]]
}

---

{
  "formula": "SiPtCl2",
  "functional": "SCAN",
  "state": "single point on PBEsol structure",
  "m_tot_mub_per_fu": 0.00,
  "total_energy_ev_per_fu": -98.55,
  "volume_a3_per_cell": 79,
  "e_form_raw_ev_per_atom": -0.597,
  "lattice_angstrom": [[2.905, 0.000, 0.000], [0.000, 3.218, 0.000], [0.000, 0.000, 8.412]],
  "species": ["Pt", "Cl", "Cl", "Si"],
  "fractional_positions": [[0.000, 0.000, 0.680], [0.500, 0.500, 0.307], [0.000, 0.000, 0.966], [0.500, 0.500, 0.546]]
}

---

{
  "formula": "Si2PtCl",
  "functional": "SCAN",
  "state": "single point on PBEsol structure",
  "m_tot_mub_per_fu": 0.00,
  "total_energy_ev_per_fu": -96.94,
  "volume_a3_per_cell": 70,
  "e_form_raw_ev_per_atom": 0.315,
  "lattice_angstrom": [[-0.192, -3.055, -1.146], [0.934, -3.191, 3.689], [-4.273, -2.041, 1.496]],
  "species": ["Si", "Si", "Pt", "Cl"],
  "fractional_positions": [[0.737, 0.263, 0.263], [0.263, 0.737, 0.737], [0.000, 0.500, 0.500], [0.500, 0.000, 0.000]]
}

---

{
  "formula": "SiPtCl2",
  "functional": "SCAN",
  "state": "single point on PBEsol structure",
  "m_tot_mub_per_fu": 0.00,
  "total_energy_ev_per_fu": -94.45,
  "volume_a3_per_cell": 65,
  "e_form_raw_ev_per_atom": 0.428,
  "lattice_angstrom": [[4.517, 0.000, 0.000], [2.258, 3.912, 0.000], [2.258, 1.304, 3.688]],
  "species": ["Cl", "Cl", "Si", "Pt"],
  "fractional_positions": [[0.000, 0.000, 0.000], [0.750, 0.750, 0.750], [0.250, 0.250, 0.250], [0.500, 0.500, 0.500]]
}

---

{
  "formula": "Si2PtCl",
  "functional": "SCAN",
  "state": "single point on PBEsol structure",
  "m_tot_mub_per_fu": 0.00,
  "total_energy_ev_per_fu": -99.08,
  "volume_a3_per_cell": 71,
  "e_form_raw_ev_per_atom": -0.219,
  "lattice_angstrom": [[3.513, 0.000, 0.000], [1.757, 3.043, 0.000], [1.757, 1.014, 6.655]],
  "species": ["Si", "Si", "Pt", "Cl"],
  "fractional_positions": [[0.265, 0.265, 0.204], [0.735, 0.735, 0.796], [0.000, 0.000, 0.000], [0.500, 0.500, 0.500]]
}

---

{
  "formula": "SiPt2Cl",
  "functional": "SCAN",
  "state": "single point on PBEsol structure",
  "m_tot_mub_per_fu": 0.00,
  "total_energy_ev_per_fu": -158.33,
  "volume_a3_per_cell": 70,
  "e_form_raw_ev_per_atom": 0.013,
  "lattice_angstrom": [[-0.919, -3.083, 0.143], [3.118, -0.895, 0.746], [-1.319, 0.687, 6.339]],
  "species": ["Pt", "Pt", "Si", "Cl"],
  "fractional_positions": [[0.500, 0.500, 0.286], [0.000, 0.000, 0.032], [0.000, 0.000, 0.391], [0.500, 0.500, 0.791]]
}

---

{
  "formula": "SiPtCl3",
  "functional": "SCAN",
  "state": "single point on PBEsol structure",
  "m_tot_mub_per_fu": 0.68,
  "total_energy_ev_per_fu": -101.89,
  "volume_a3_per_cell": 101,
  "e_form_raw_ev_per_atom": 0.450,
  "lattice_angstrom": [[-1.960, -3.999, -1.373], [4.071, -2.193, 0.577], [-1.141, -0.956, 4.416]],
  "species": ["Pt", "Cl", "Cl", "Cl", "Si"],
  "fractional_positions": [[0.500, 0.500, 0.500], [0.000, 0.500, 0.000], [0.500, 0.000, 0.000], [0.000, 0.000, 0.500], [0.000, 0.000, 0.000]]
}

---

{
  "formula": "SiPtCl2",
  "functional": "SCAN",
  "state": "single point on PBEsol structure",
  "m_tot_mub_per_fu": 0.00,
  "total_energy_ev_per_fu": -98.41,
  "volume_a3_per_cell": 92,
  "e_form_raw_ev_per_atom": -0.560,
  "lattice_angstrom": [[-0.661, -2.654, -1.280], [5.269, -0.514, -1.657], [-0.566, -1.041, 6.014]],
  "species": ["Pt", "Si", "Cl", "Cl"],
  "fractional_positions": [[0.669, 0.571, 0.338], [0.129, 0.833, 0.258], [0.734, 0.207, 0.467], [0.968, 0.889, 0.937]]
}

---

{
  "formula": "SiPt2Cl",
  "functional": "SCAN",
  "state": "single point on PBEsol structure",
  "m_tot_mub_per_fu": 0.00,
  "total_energy_ev_per_fu": -157.29,
  "volume_a3_per_cell": 63,
  "e_form_raw_ev_per_atom": 0.273,
  "lattice_angstrom": [[-1.771, -2.007, -0.873], [-0.603, -1.176, 3.926], [-4.136, 3.474, 0.405]],
  "species": ["Si", "Pt", "Pt", "Cl"],
  "fractional_positions": [[0.500, 0.500, 0.000], [0.500, 0.000, 0.500], [0.000, 0.000, 0.000], [0.000, 0.500, 0.500]]
}

---

{
  "formula": "SiPt2Cl",
  "functional": "SCAN",
  "state": "single point on PBEsol structure",
  "m_tot_mub_per_fu": 0.00,
  "total_energy_ev_per_fu": -158.78,
  "volume_a3_per_cell": 66,
  "e_form_raw_ev_per_atom": -0.101,
  "lattice_angstrom": [[2.836, 0.000, 0.000], [1.418, 5.014, 0.185], [1.418, 1.663, 4.733]],
  "species": ["Pt", "Pt", "Si", "Cl"],
  "fractional_positions": [[0.223, 0.777, 0.777], [0.777, 0.223, 0.223], [0.500, 0.000, 0.000], [0.000, 0.500, 0.500]]
}

---

{
  "formula": "Si2TePtCl",
  "functional": "SCAN",
  "state": "single point on PBEsol structure",
  "m_tot_mub_per_fu": 0.00,
  "total_energy_ev_per_fu": -127.69,
  "volume_a3_per_cell": 128,
  "e_form_raw_ev_per_atom": 1.553,
  "lattice_angstrom": [[4.836, 0.000, 0.000], [0.000, 5.138, 0.000], [0.000, 0.000, 5.138]],
  "species": ["Si", "Si", "Te", "Pt", "Cl"],
  "fractional_positions": [[0.000, 0.500, 0.000], [0.000, 0.000, 0.500], [0.000, 0.000, 0.000], [0.500, 0.500, 0.500], [0.500, 0.000, 0.000]]
}

---

{
  "formula": "SnPtCl2",
  "functional": "SCAN",
  "state": "single point on PBEsol structure",
  "m_tot_mub_per_fu": 0.00,
  "total_energy_ev_per_fu": -121.01,
  "volume_a3_per_cell": 78,
  "e_form_raw_ev_per_atom": 0.265,
  "lattice_angstrom": [[4.787, 0.000, 0.000], [2.394, 4.146, 0.000], [2.394, 1.382, 3.909]],
  "species": ["Cl", "Cl", "Pt", "Sn"],
  "fractional_positions": [[0.250, 0.250, 0.250], [0.750, 0.750, 0.750], [0.500, 0.500, 0.500], [0.000, 0.000, 0.000]]
}

---

{
  "formula": "SrPtCl4",
  "functional": "SCAN",
  "state": "single point on PBEsol structure",
  "m_tot_mub_per_fu": 1.26,
  "total_energy_ev_per_fu": -124.57,
  "volume_a3_per_cell": 133,
  "e_form_raw_ev_per_atom": -0.031,
  "lattice_angstrom": [[-2.746, -0.913, 4.938], [-5.632, -1.018, -0.004], [-1.964, -5.226, 1.258]],
  "species": ["Pt", "Cl", "Cl", "Cl", "Cl", "Sr"],
  "fractional_positions": [[0.750, 0.750, 0.750], [0.376, 0.376, 0.873], [0.376, 0.376, 0.376], [0.873, 0.376, 0.376], [0.376, 0.873, 0.376], [0.000, 0.000, 0.000]]
}

---

{
  "formula": "Sr2PtCl",
  "functional": "SCAN",
  "state": "single point on PBEsol structure",
  "m_tot_mub_per_fu": 0.00,
  "total_energy_ev_per_fu": -128.82,
  "volume_a3_per_cell": 115,
  "e_form_raw_ev_per_atom": -1.526,
  "lattice_angstrom": [[4.208, 0.000, 0.000], [2.104, 3.644, 0.000], [2.104, 1.215, 7.530]],
  "species": ["Sr", "Sr", "Cl", "Pt"],
  "fractional_positions": [[0.759, 0.759, 0.724], [0.241, 0.241, 0.276], [0.000, 0.000, 0.000], [0.500, 0.500, 0.500]]
}

---

{
  "formula": "Sr2PtCl",
  "functional": "SCAN",
  "state": "single point on PBEsol structure",
  "m_tot_mub_per_fu": 0.00,
  "total_energy_ev_per_fu": -127.91,
  "volume_a3_per_cell": 101,
  "e_form_raw_ev_per_atom": -1.297,
  "lattice_angstrom": [[5.229, 0.000, 0.000], [2.615, 4.529, 0.000], [2.615, 1.510, 4.270]],
  "species": ["Sr", "Sr", "Cl", "Pt"],
  "fractional_positions": [[0.250, 0.250, 0.250], [0.750, 0.750, 0.750], [0.500, 0.500, 0.500], [0.000, 0.000, 0.000]]
}

---

{
  "formula": "SrZnPtCl2",
  "functional": "SCAN",
  "state": "single point on PBEsol structure",
  "m_tot_mub_per_fu": 0.00,
  "total_energy_ev_per_fu": -123.97,
  "volume_a3_per_cell": 135,
  "e_form_raw_ev_per_atom": -0.407,
  "lattice_angstrom": [[-3.934, -0.940, -2.745], [-2.364, -1.642, 3.951], [-1.946, 5.214, 1.003]],
  "species": ["Cl", "Cl", "Zn", "Sr", "Pt"],
  "fractional_positions": [[0.000, 0.500, 0.000], [0.500, 0.000, 0.000], [0.500, 0.500, 0.500], [0.000, 0.000, 0.500], [0.000, 0.000, 0.000]]
}

---

{
  "formula": "TaPtCl",
  "functional": "SCAN",
  "state": "single point on PBEsol structure",
  "m_tot_mub_per_fu": 0.00,
  "total_energy_ev_per_fu": -146.03,
  "volume_a3_per_cell": 52,
  "e_form_raw_ev_per_atom": -0.424,
  "lattice_angstrom": [[2.954, 0.000, 0.000], [-1.477, 2.559, 0.000], [0.000, 0.000, 6.845]],
  "species": ["Ta", "Pt", "Cl"],
  "fractional_positions": [[0.667, 0.333, 0.320], [0.333, 0.667, 0.628], [0.000, 0.000, 0.051]]
}

---

{
  "formula": "TaPt2Cl",
  "functional": "SCAN",
  "state": "single point on PBEsol structure",
  "m_tot_mub_per_fu": 0.00,
  "total_energy_ev_per_fu": -214.21,
  "volume_a3_per_cell": 64,
  "e_form_raw_ev_per_atom": 0.185,
  "lattice_angstrom": [[3.977, 0.000, 0.000], [0.000, 3.977, 0.000], [-1.989, -1.989, 4.031]],
  "species": ["Cl", "Ta", "Pt", "Pt"],
  "fractional_positions": [[0.000, 0.000, 0.000], [0.500, 0.500, 0.000], [0.750, 0.250, 0.500], [0.250, 0.750, 0.500]]
}

---

{
  "formula": "TaPt2Cl",
  "functional": "SCAN",
  "state": "single point on PBEsol structure",
  "m_tot_mub_per_fu": 0.00,
  "total_energy_ev_per_fu": -216.46,
  "volume_a3_per_cell": 79,
  "e_form_raw_ev_per_atom": -0.379,
  "lattice_angstrom": [[-0.594, -2.545, -1.032], [3.982, -1.330, 0.990], [-3.784, 0.046, 5.887]],
  "species": ["Ta", "Pt", "Pt", "Cl"],
  "fractional_positions": [[0.523, 0.523, 0.047], [0.841, 0.341, 0.682], [0.958, 0.958, 0.916], [0.177, 0.677, 0.355]]
}

---

{
  "formula": "TcPt2Cl",
  "functional": "SCAN",
  "state": "single point on PBEsol structure",
  "m_tot_mub_per_fu": 2.04,
  "total_energy_ev_per_fu": -180.55,
  "volume_a3_per_cell": 62,
  "e_form_raw_ev_per_atom": 0.717,
  "lattice_angstrom": [[-0.360, 4.397, 0.576], [-2.068, 1.611, 3.595], [2.344, 2.024, 3.194]],
  "species": ["Pt", "Pt", "Tc", "Cl"],
  "fractional_positions": [[0.750, 0.750, 0.750], [0.250, 0.250, 0.250], [0.500, 0.500, 0.500], [0.000, 0.000, 0.000]]
}

---

{
  "formula": "TcPtCl2",
  "functional": "SCAN",
  "state": "single point on PBEsol structure",
  "m_tot_mub_per_fu": 3.46,
  "total_energy_ev_per_fu": -120.07,
  "volume_a3_per_cell": 83,
  "e_form_raw_ev_per_atom": 0.285,
  "lattice_angstrom": [[2.898, 0.000, 0.000], [1.449, 5.530, 0.242], [1.449, 1.716, 5.262]],
  "species": ["Tc", "Cl", "Cl", "Pt"],
  "fractional_positions": [[0.755, 0.745, 0.745], [0.209, 0.291, 0.291], [0.051, 0.949, 0.949], [0.485, 0.515, 0.515]]
}

---

{
  "formula": "TcPt2Cl",
  "functional": "SCAN",
  "state": "single point on PBEsol structure",
  "m_tot_mub_per_fu": 0.00,
  "total_energy_ev_per_fu": -180.76,
  "volume_a3_per_cell": 60,
  "e_form_raw_ev_per_atom": 0.665,
  "lattice_angstrom": [[-0.790, -0.508, 2.560], [-1.024, -4.683, -1.246], [4.609, 0.865, 1.595]],
  "species": ["Pt", "Pt", "Tc", "Cl"],
  "fractional_positions": [[0.000, 0.000, 0.500], [0.000, 0.500, 0.000], [0.500, 0.500, 0.500], [0.500, 0.000, 0.000]]
}

---

{
  "formula": "TcPt2Cl",
  "functional": "SCAN",
  "state": "single point on PBEsol structure",
  "m_tot_mub_per_fu": 0.00,
  "total_energy_ev_per_fu": -182.58,
  "volume_a3_per_cell": 60,
  "e_form_raw_ev_per_atom": 0.210,
  "lattice_angstrom": [[-2.752, 0.615, 0.385], [-1.210, -0.423, 2.541], [0.796, 8.071, 3.315]],
  "species": ["Pt", "Pt", "Cl", "Tc"],
  "fractional_positions": [[0.248, 0.248, 0.257], [0.752, 0.752, 0.743], [0.000, 0.000, 0.000], [0.500, 0.500, 0.500]]
}

---

{
  "formula": "TcPtCl2",
  "functional": "SCAN",
  "state": "single point on PBEsol structure",
  "m_tot_mub_per_fu": 0.00,
  "total_energy_ev_per_fu": -118.82,
  "volume_a3_per_cell": 61,
  "e_form_raw_ev_per_atom": 0.597,
  "lattice_angstrom": [[-2.790, 0.648, -0.084], [-0.461, -1.485, 3.875], [1.407, 4.573, 1.920]],
  "species": ["Pt", "Tc", "Cl", "Cl"],
  "fractional_positions": [[0.500, 0.500, 0.500], [0.000, 0.500, 0.000], [0.194, 0.000, 0.242], [0.806, 0.000, 0.758]]
}